Material: NbFeReTc
Method: DFT, PBE
State: optimized geometry

* ΔH_f (0 K): 0.0322 eV/atom
* electronic total energy: -10.30 eV/atom
* spin magnetization: 0.565 μB per atom

```
data_NbFeReTc
_chemical_formula_sum 'Nb4 Fe4 Re4 Tc4'
_symmetry_space_group_name_H-M 'F -4 3 m'
_symmetry_Int_Tables_number 216
_symmetry_space_group_name_Hall 'F -4 2 3'
_cell_length_a 6.199
_cell_length_b 6.199
_cell_length_c 6.199
_cell_angle_alpha 90.00
_cell_angle_beta 90.00
_cell_angle_gamma 90.00
loop_
_atom_site_label
_atom_site_type_symbol
_atom_site_fract_x
_atom_site_fract_y
_atom_site_fract_z
Nb1 Nb 0.000 0.000 0.000
Fe1 Fe 0.250 0.250 0.750
Re1 Re 0.000 0.000 0.500
Tc1 Tc 0.250 0.250 0.250
```